The following is a GGA-PBE calculation of a geometry-optimized Np3Nb5N12 structure, from Alexandria.

Lattice parameters (Å, degrees): 12.879 12.879 12.879 90.00 90.00 90.00
Space group Ia-3d (No. 230)
Unique sites:
Np 0.000 0.250 0.125 [24 per cell]
Nb 0.000 0.000 0.000 [16 per cell]
Nb 0.000 0.250 0.375 [24 per cell]
N 0.026 0.059 0.652 [96 per cell]

Output
size of the total moment = 80.32 μB/cell
volume = 13.35 Å³ per atom
electronic total energy = -10.344 eV per atom